LuBe2Nb after structural relaxation. Source: OQMD, functional PBE.

```
data_LuBe2Nb
_cell_length_a 6.401
_cell_length_b 6.401
_cell_length_c 6.401
_cell_angle_alpha 90.00
_cell_angle_beta 90.00
_cell_angle_gamma 90.00
_symmetry_space_group_name_H-M 'F -4 3 m'
_symmetry_Int_Tables_number 216
_symmetry_space_group_name_Hall 'F -4 2 3'
loop_
_atom_site_label
_atom_site_type_symbol
_atom_site_fract_x
_atom_site_fract_y
_atom_site_fract_z
Lu1 Lu 0.000 0.000 0.000
Be1 Be 0.000 0.000 0.500
Be2 Be 0.250 0.250 0.250
Nb1 Nb 0.250 0.250 0.750
```

Total energy = -4.81 eV/atom

***

LuBeNb after structural relaxation. Source: OQMD, functional PBE.

```
data_LuBeNb
_cell_length_a 6.368
_cell_length_b 6.368
_cell_length_c 6.368
_cell_angle_alpha 90.00
_cell_angle_beta 90.00
_cell_angle_gamma 90.00
_symmetry_space_group_name_H-M 'F -4 3 m'
_symmetry_Int_Tables_number 216
_symmetry_space_group_name_Hall 'F -4 2 3'
loop_
_atom_site_label
_atom_site_type_symbol
_atom_site_fract_x
_atom_site_fract_y
_atom_site_fract_z
Lu1 Lu 0.000 0.000 0.000
Be1 Be 0.000 0.000 0.500
Nb1 Nb 0.250 0.250 0.750
```

Total energy = -4.94 eV/atom

***

LuBeNb2 after structural relaxation. Source: OQMD, functional PBE.

```
data_LuBeNb2
_cell_length_a 6.606
_cell_length_b 6.606
_cell_length_c 6.606
_cell_angle_alpha 90.00
_cell_angle_beta 90.00
_cell_angle_gamma 90.00
_symmetry_space_group_name_H-M 'F -4 3 m'
_symmetry_Int_Tables_number 216
_symmetry_space_group_name_Hall 'F -4 2 3'
loop_
_atom_site_label
_atom_site_type_symbol
_atom_site_fract_x
_atom_site_fract_y
_atom_site_fract_z
Lu1 Lu 0.000 0.000 0.000
Be1 Be 0.250 0.250 0.750
Nb1 Nb 0.000 0.000 0.500
Nb2 Nb 0.250 0.250 0.250
```

Total energy = -6.83 eV/atom

***

Number 1 is which compound? LuBe2Nb

***

Number 1 is which compound? LuBe2Nb

***

Which of these has the highest total energy? LuBe2Nb

***

Among the records above, which one has the lowest total energy? LuBeNb2